# 1
The following is a GGA-PBEsol calculation of a geometry-optimized LiReTc2 structure, from the Alexandria database.

Cell lengths 2.5820, 4.2333, 5.0491 Å; angles 90.00, 99.20, 90.00 degrees
Last column: nearest neighbours and their distance in Å.
Atoms (fractional coordinates):
Li 0.0000 0.0000 0.0000  2 Li 2.58, 4 Tc 2.59, 2 Re 2.65
Re 0.5000 0.0000 0.5000  2 Re 2.58, 4 Tc 2.61, 2 Li 2.65
Tc 0.2758 0.5000 0.7620  3 Tc 2.50-2.58, 2 Li 2.59, 2 Re 2.61
Tc 0.7242 0.5000 0.2380  3 Tc 2.50-2.58, 2 Li 2.59, 2 Re 2.61

Computed properties:
The offset from the most stable computed form comes out at 0 meV per atom. As for the energy of formation: 0.2138 eV per atom.


# 2
The following is a GGA-PBEsol calculation of a geometry-optimized LaHf2HN structure, from the Alexandria database.

Cell lengths 3.8701, 3.8701, 6.2427 Å; angles 90.00, 90.00, 90.00 degrees
Last column: nearest neighbours and their distance in Å.
Atoms (fractional coordinates):
La 0.0000 0.0000 0.0000  4 N 2.74
Hf 0.0000 0.5000 0.5000  2 H 1.94
Hf 0.5000 0.0000 0.5000  2 H 1.94
H 0.5000 0.5000 0.5000  4 Hf 1.94
N 0.5000 0.5000 0.0000  4 La 2.74


# 3
The following is a GGA-PBEsol calculation of a geometry-optimized K2CaAg structure, from the Alexandria database.

Cell lengths 12.0599, 12.0599, 12.0599 Å; angles 19.74, 19.74, 19.74 degrees
Last column: nearest neighbours and their distance in Å.
Atoms (fractional coordinates):
K 0.2307 0.2307 0.2307  3 Ag 3.29
K 0.7693 0.7693 0.7693  3 Ag 3.29
Ca 0.0000 0.0000 0.0000  6 Ca 4.14, 6 K 4.35
Ag 0.5000 0.5000 0.5000  6 K 3.29

Computed properties:
The offset from the most stable computed form comes out at 234 meV per atom. As for the energy of formation: 0.2568 eV per atom.


# 4
The following is a GGA-PBEsol calculation of a geometry-optimized Re2Sb2F structure, from the Alexandria database.

Cell lengths 7.9900, 7.9900, 7.9900 Å; angles 153.96, 153.96, 37.15 degrees
Last column: nearest neighbours and their distance in Å.
Atoms (fractional coordinates):
Re 0.2500 0.7500 0.5000  4 Re 2.55, 4 Sb 2.82
Re 0.7500 0.2500 0.5000  4 Re 2.55, 4 Sb 2.82
Sb 0.1069 0.1069 0.0000  4 Re 2.82, 4 F 3.02
Sb 0.8931 0.8931 0.0000  4 Re 2.82, 4 F 3.02
F 0.5000 0.5000 0.0000  8 Sb 3.02


no.,total moment (μB/atom),electronic total energy (eV per cell)
1,0.0000,-37.0
2,0.0000,-36.2
3,0.0001,-6.7
4,0.0000,-38.0